# 1
A relaxed structure of Ba2Pt2Pb3, computed with PBE.

Cell and atoms, written as CIF:
```
data_Ba2Pt2Pb3
_chemical_formula_sum 'Ba4 Pt4 Pb6'
_cell_length_a 11.7128
_cell_length_b 4.6425
_cell_length_c 8.4252
_cell_angle_alpha 90.00
_cell_angle_beta 114.21
_cell_angle_gamma 90.00
_space_group_name_H-M_alt 'C 1 2/m 1'
_space_group_IT_number 12
loop_
_space_group_symop_operation_xyz
'x,y,z'
'-x,-y,-z'
'-x,y,-z'
'x,-y,z'
'x+1/2,y+1/2,z'
'-x+1/2,-y+1/2,-z'
'-x+1/2,y+1/2,-z'
'x+1/2,-y+1/2,z'
loop_
_atom_site_label
_atom_site_type_symbol
_atom_site_fract_x
_atom_site_fract_y
_atom_site_fract_z
Ba1 Ba 0.1430 0.0000 0.2920
Pt1 Pt 0.1496 0.0000 0.7362
Pb1 Pb 0.0000 0.5000 0.5000
Pb2 Pb 0.1324 0.5000 0.9373
```

Calculated values
Size of the total moment ... 0.00 μB per cell
Total DFT energy (no corrections) ... -4.367 eV/atom
DFT formation energy ... -502.8 meV/atom

---

# 2
A relaxed structure of NaPaAgI6, computed with PBE.

Cell and atoms, written as CIF:
```
data_NaPaAgI6
_chemical_formula_sum 'Na2 Pa2 Ag2 I12'
_cell_length_a 7.6915
_cell_length_b 7.6915
_cell_length_c 14.6889
_cell_angle_alpha 90.00
_cell_angle_beta 90.00
_cell_angle_gamma 120.00
_space_group_name_H-M_alt 'P -3 1 c'
_space_group_IT_number 163
_space_group_name_Hall '-P 3 2c'
loop_
_atom_site_label
_atom_site_type_symbol
_atom_site_fract_x
_atom_site_fract_y
_atom_site_fract_z
Na1 Na 0.0000 0.0000 0.0000
Pa1 Pa 0.3333 0.6667 0.2500
Ag1 Ag 0.3333 0.6667 0.7500
I1 I 0.0046 0.3510 0.1292
```

Calculated values
Size of the total moment ... 2.01 μB per cell
Total DFT energy (no corrections) ... -3.392 eV/atom

---

# 3
A relaxed structure of ScBeZn2Co, computed with PBE.

Cell and atoms, written as CIF:
```
data_ScBeZn2Co
_chemical_formula_sum 'Sc1 Be1 Zn2 Co1'
_cell_length_a 5.0662
_cell_length_b 5.0662
_cell_length_c 4.7203
_cell_angle_alpha 90.00
_cell_angle_beta 90.00
_cell_angle_gamma 90.00
_space_group_name_H-M_alt 'P 4/m m m'
_space_group_IT_number 123
_space_group_name_Hall '-P 4 2'
loop_
_atom_site_label
_atom_site_type_symbol
_atom_site_fract_x
_atom_site_fract_y
_atom_site_fract_z
Sc1 Sc 0.0000 0.0000 0.0000
Be1 Be 0.0000 0.0000 0.5000
Zn1 Zn 0.0000 0.5000 0.0000
Co1 Co 0.5000 0.5000 0.5000
```

Calculated values
Size of the total moment ... 2.04 μB per cell
Total DFT energy (no corrections) ... -2.318 eV/atom
DFT formation energy ... 1624.2 meV/atom

---

# 4
A relaxed structure of Tl3Hg2Bi2, computed with PBE.

Cell and atoms, written as CIF:
```
data_Tl3Hg2Bi2
_chemical_formula_sum 'Tl6 Hg4 Bi4'
_cell_length_a 3.4006
_cell_length_b 5.4942
_cell_length_c 23.2554
_cell_angle_alpha 90.00
_cell_angle_beta 90.00
_cell_angle_gamma 90.00
_space_group_name_H-M_alt 'I m m m'
_space_group_IT_number 71
_space_group_name_Hall '-I 2 2'
loop_
_atom_site_label
_atom_site_type_symbol
_atom_site_fract_x
_atom_site_fract_y
_atom_site_fract_z
Tl1 Tl 0.0000 0.0000 0.0000
Tl2 Tl 0.0000 0.5000 0.2077
Hg1 Hg 0.0000 0.5000 0.3518
Bi1 Bi 0.0000 0.0000 0.4317
```

Calculated values
Size of the total moment ... 0.00 μB per cell
Total DFT energy (no corrections) ... -2.201 eV/atom
DFT formation energy ... 7.9 meV/atom
Relative energy among the computed polymorphs ... 0.022 eV per atom

---

# 5
A relaxed structure of BaSi2PSe8, computed with PBE.

Cell and atoms, written as CIF:
```
data_BaSi2PSe8
_chemical_formula_sum 'Ba3 Si6 P3 Se24'
_cell_length_a 6.0987
_cell_length_b 6.0987
_cell_length_c 29.7327
_cell_angle_alpha 90.00
_cell_angle_beta 90.00
_cell_angle_gamma 120.00
_space_group_name_H-M_alt 'R -3'
_space_group_IT_number 148
_space_group_name_Hall '-R 3'
loop_
_atom_site_label
_atom_site_type_symbol
_atom_site_fract_x
_atom_site_fract_y
_atom_site_fract_z
Ba1 Ba 0.0000 0.0000 0.0000
Si1 Si 0.0000 0.0000 0.2392
P1 P 0.0000 0.0000 0.5000
Se1 Se 0.0000 0.0000 0.3142
Se2 Se 0.0018 0.6338 0.7815
```

Calculated values
Size of the total moment ... 0.00 μB per cell
Total DFT energy (no corrections) ... -4.209 eV/atom

---

# 6
A relaxed structure of Ca5Pd4Pt, computed with PBE.

Cell and atoms, written as CIF:
```
data_Ca5Pd4Pt
_chemical_formula_sum 'Ca5 Pd4 Pt1'
_cell_length_a 3.5380
_cell_length_b 3.5380
_cell_length_c 17.5238
_cell_angle_alpha 90.00
_cell_angle_beta 90.00
_cell_angle_gamma 90.00
_space_group_name_H-M_alt 'P 4/m m m'
_space_group_IT_number 123
_space_group_name_Hall '-P 4 2'
loop_
_atom_site_label
_atom_site_type_symbol
_atom_site_fract_x
_atom_site_fract_y
_atom_site_fract_z
Ca1 Ca 0.0000 0.0000 0.0000
Ca2 Ca 0.0000 0.0000 0.2011
Ca3 Ca 0.0000 0.0000 0.4035
Pd1 Pd 0.5000 0.5000 0.1005
Pd2 Pd 0.5000 0.5000 0.3011
Pt1 Pt 0.5000 0.5000 0.5000
```

Calculated values
Size of the total moment ... 0.00 μB per cell
Total DFT energy (no corrections) ... -4.394 eV/atom
DFT formation energy ... -711.9 meV/atom

---

# 7
A relaxed structure of Zr4IrRu2, computed with PBE.

Cell and atoms, written as CIF:
```
data_Zr4IrRu2
_chemical_formula_sum 'Zr12 Ir3 Ru6'
_cell_length_a 4.6017
_cell_length_b 4.6017
_cell_length_c 22.4334
_cell_angle_alpha 90.00
_cell_angle_beta 90.00
_cell_angle_gamma 120.00
_space_group_name_H-M_alt 'R -3 m'
_space_group_IT_number 166
_space_group_name_Hall '-R 3 2"'
loop_
_atom_site_label
_atom_site_type_symbol
_atom_site_fract_x
_atom_site_fract_y
_atom_site_fract_z
Zr1 Zr 0.0000 0.0000 0.1212
Zr2 Zr 0.0000 0.0000 0.3718
Ir1 Ir 0.0000 0.0000 0.5000
Ru1 Ru 0.0000 0.0000 0.2485
```

Calculated values
Size of the total moment ... 0.00 μB per cell
Total DFT energy (no corrections) ... -9.359 eV/atom
DFT formation energy ... -558.0 meV/atom

---

# 8
A relaxed structure of KTe8Rh5, computed with PBE.

Cell and atoms, written as CIF:
```
data_KTe8Rh5
_chemical_formula_sum 'K2 Te16 Rh10'
_cell_length_a 20.4811
_cell_length_b 4.0619
_cell_length_c 9.0343
_cell_angle_alpha 90.00
_cell_angle_beta 104.49
_cell_angle_gamma 90.00
_space_group_name_H-M_alt 'C 1 m 1'
_space_group_IT_number 8
loop_
_space_group_symop_operation_xyz
'x,y,z'
'x,-y,z'
'x+1/2,y+1/2,z'
'x+1/2,-y+1/2,z'
loop_
_atom_site_label
_atom_site_type_symbol
_atom_site_fract_x
_atom_site_fract_y
_atom_site_fract_z
K1 K 0.0000 0.0000 0.0000
Te1 Te 0.0702 0.0000 0.6554
Te2 Te 0.0885 0.5000 0.3280
Te3 Te 0.1766 0.5000 0.9856
Te4 Te 0.2361 0.5000 0.6484
Te5 Te 0.2632 0.0000 0.3517
Te6 Te 0.3226 0.0000 0.0146
Te7 Te 0.4108 0.0000 0.6724
Te8 Te 0.4291 0.5000 0.3442
Rh1 Rh 0.9996 0.5000 0.5001
Rh2 Rh 0.1587 0.0000 0.4794
Rh3 Rh 0.2031 0.0000 0.8154
Rh4 Rh 0.2961 0.5000 0.1849
Rh5 Rh 0.3407 0.5000 0.5207
```

Calculated values
Size of the total moment ... 0.00 μB per cell
Total DFT energy (no corrections) ... -4.951 eV/atom